# 1
Compound: LiInHgTe
Source: Alexandria via LeMat-Bulk
Functional: GGA-PBE
Structure: relaxed

Cell lengths 4.706, 4.706, 13.018 Å; angles 79.59, 79.59, 60.00 degrees
Element x y z (fractional)
Li: 0.808 0.808 0.576
Li: 0.192 0.192 0.424
In: 0.594 0.594 0.219
In: 0.406 0.406 0.781
Hg: 0.693 0.693 0.922
Hg: 0.307 0.307 0.078
Te: 0.118 0.118 0.645
Te: 0.882 0.882 0.355

Computed properties:
magnetization: 0.00 μB/cell
energy relative to the elements, uncorrected: -0.428 eV per atom


# 2
Compound: Tl2Ga2Re
Source: Alexandria via LeMat-Bulk
Functional: GGA-PBE
Structure: relaxed

Cell lengths 7.498, 7.498, 3.921 Å; angles 90.00, 90.00, 90.00 degrees
Each line ends with the local moment (μB).
Element x y z (fractional)
Re: 0.000 0.000 0.000  1.27
Re: 0.500 0.500 0.000  1.26
Tl: 0.345 0.845 0.000  -0.01
Tl: 0.845 0.655 0.000  -0.02
Tl: 0.655 0.155 0.000  -0.01
Tl: 0.155 0.345 0.000  -0.01
Ga: 0.152 0.652 0.500  0.00
Ga: 0.652 0.848 0.500  0.00
Ga: 0.848 0.348 0.500  0.00
Ga: 0.348 0.152 0.500  0.00

Computed properties:
formation energy: 0.9952 eV per atom
magnetization: 2.75 μB/cell


# 3
Compound: AlFe3
Source: Alexandria via LeMat-Bulk
Functional: GGA-PBE
Structure: relaxed

Cell lengths 6.595, 6.595, 6.595 Å; angles 144.81, 144.81, 50.62 degrees
Each line ends with the local moment (μB).
Element x y z (fractional)
Al: 0.374 0.374 0.000  -0.07
Al: 0.626 0.626 0.000  -0.07
Fe: 0.500 0.000 0.500  1.96
Fe: 0.000 0.500 0.500  1.96
Fe: 0.750 0.250 0.500  1.98
Fe: 0.250 0.750 0.500  1.98
Fe: 0.125 0.125 0.000  2.38
Fe: 0.875 0.875 0.000  2.38

Computed properties:
formation energy: -0.1865 eV per atom
magnetization: 12.18 μB/cell


# 4
Compound: Cs2GeSe2
Source: Alexandria via LeMat-Bulk
Functional: GGA-PBE
Structure: relaxed

Cell lengths 9.160, 9.933, 9.810 Å; angles 90.00, 105.86, 90.00 degrees
Element x y z (fractional)
Cs: 0.546 0.273 0.087
Cs: 0.046 0.227 0.087
Cs: 0.954 0.773 0.913
Cs: 0.454 0.727 0.913
Cs: 0.986 0.683 0.356
Cs: 0.486 0.817 0.356
Cs: 0.514 0.183 0.644
Cs: 0.014 0.317 0.644
Ge: 0.377 0.418 0.352
Ge: 0.623 0.582 0.648
Ge: 0.877 0.082 0.352
Ge: 0.123 0.918 0.648
Se: 0.753 0.942 0.146
Se: 0.253 0.558 0.146
Se: 0.747 0.442 0.854
Se: 0.247 0.058 0.854
Se: 0.666 0.475 0.424
Se: 0.166 0.025 0.424
Se: 0.834 0.975 0.576
Se: 0.334 0.525 0.576

Computed properties:
magnetization: 0.00 μB/cell
energy relative to the elements, uncorrected: -0.873 eV per atom


# 5
Compound: Sc8TlRh2
Source: Alexandria via LeMat-Bulk
Functional: GGA-PBE
Structure: relaxed

Cell lengths 4.923, 6.497, 8.474 Å; angles 112.55, 106.89, 90.00 degrees
Element x y z (fractional)
Sc: 0.636 0.281 0.909
Sc: 0.966 0.013 0.568
Sc: 0.307 0.354 0.250
Sc: 0.747 0.936 0.130
Sc: 0.347 0.854 0.330
Sc: 0.926 0.434 0.488
Sc: 0.136 0.544 0.909
Sc: 0.526 0.714 0.688
Tl: 0.136 0.980 0.909
Rh: 0.807 0.616 0.251
Rh: 0.465 0.274 0.567

Computed properties:
formation energy: -0.4260 eV per atom
magnetization: 0.00 μB/cell


# 6
Compound: Sc2Te2H
Source: Alexandria via LeMat-Bulk
Functional: GGA-PBE
Structure: relaxed

Cell lengths 4.047, 7.930, 7.472 Å; angles 98.78, 105.71, 90.00 degrees
Each line ends with the local moment (μB).
Element x y z (fractional)
Sc: 0.185 0.817 0.370  0.16
Sc: 0.815 0.183 0.630  0.16
Sc: 0.345 0.549 0.690  0.25
Sc: 0.655 0.451 0.310  0.25
Te: 0.166 0.176 0.331  -0.01
Te: 0.834 0.824 0.669  -0.01
Te: 0.454 0.268 0.909  -0.01
Te: 0.546 0.732 0.091  -0.01
H: 0.199 0.558 0.398  -0.01
H: 0.801 0.442 0.602  -0.01

Computed properties:
magnetization: 1.20 μB/cell
DFT total energy: -5.432 eV per atom


# 7
Compound: CsAlTeN2
Source: Alexandria via LeMat-Bulk
Functional: GGA-PBE
Structure: relaxed

Cell lengths 4.416, 4.416, 7.699 Å; angles 90.00, 90.00, 90.00 degrees
Each line ends with the local moment (μB).
Element x y z (fractional)
Cs: 0.000 0.000 0.000  0.02
Te: 0.000 0.000 0.500  0.00
Al: 0.500 0.500 0.500  -0.01
N: 0.000 0.500 0.000  0.70
N: 0.500 0.000 0.000  0.70

Computed properties:
magnetization: 2.04 μB/cell
energy relative to the elements, uncorrected: 2.132 eV per atom


# 8
Compound: LaInP
Source: Alexandria via LeMat-Bulk
Functional: GGA-PBE
Structure: relaxed

Cell lengths 4.333, 4.333, 5.086 Å; angles 90.00, 90.00, 120.00 degrees
Element x y z (fractional)
In: 0.000 0.000 0.923
La: 0.333 0.667 0.393
P: 0.667 0.333 0.683

Computed properties:
formation energy: -0.5990 eV per atom
magnetization: 0.00 μB/cell


# 9
Compound: Pr2HoTmAs4
Source: Alexandria via LeMat-Bulk
Functional: GGA-PBE
Structure: relaxed

Cell lengths 4.200, 7.261, 7.271 Å; angles 70.51, 90.00, 90.00 degrees
Element x y z (fractional)
Pr: 0.000 0.000 0.000
Pr: 0.500 0.000 0.500
Ho: 0.000 0.500 0.500
Tm: 0.500 0.500 0.000
As: 0.000 0.736 0.756
As: 0.000 0.264 0.244
As: 0.500 0.737 0.253
As: 0.500 0.263 0.747

Computed properties:
formation energy: -1.4967 eV per atom
magnetization: 0.00 μB/cell


# 10
Compound: ErHg2Sb
Source: Alexandria via LeMat-Bulk
Functional: GGA-PBE
Structure: relaxed

Cell lengths 5.080, 4.424, 4.424 Å; angles 90.00, 90.00, 90.00 degrees
Element x y z (fractional)
Sb: 0.500 0.500 0.500
Hg: 0.000 0.000 0.500
Hg: 0.000 0.500 0.000
Er: 0.500 0.000 0.000

Computed properties:
magnetization: 0.00 μB/cell
energy relative to the elements, uncorrected: -0.431 eV per atom


# 11
Compound: ErTh2Hg
Source: Alexandria via LeMat-Bulk
Functional: GGA-PBE
Structure: relaxed

Cell lengths 3.399, 3.399, 12.289 Å; angles 82.05, 82.05, 60.00 degrees
Element x y z (fractional)
Hg: 0.500 0.500 0.500
Th: 0.092 0.092 0.725
Th: 0.908 0.908 0.275
Er: 0.000 0.000 0.000

Computed properties:
formation energy: 0.1573 eV per atom
magnetization: 0.00 μB/cell


# 12
Compound: Cd4PI2Br
Source: Alexandria via LeMat-Bulk
Functional: GGA-PBE
Structure: relaxed

Cell lengths 7.888, 9.016, 7.822 Å; angles 90.00, 90.00, 90.00 degrees
Element x y z (fractional)
Cd: 0.286 0.197 0.000
Cd: 0.786 0.803 0.500
Cd: 0.416 0.064 0.500
Cd: 0.916 0.936 0.000
Cd: 0.408 0.688 0.818
Cd: 0.908 0.312 0.318
Cd: 0.908 0.312 0.682
Cd: 0.408 0.688 0.182
P: 0.471 0.789 0.500
P: 0.971 0.211 0.000
I: 0.480 0.325 0.269
I: 0.480 0.325 0.731
I: 0.980 0.675 0.769
I: 0.980 0.675 0.231
Br: 0.050 0.025 0.500
Br: 0.550 0.975 0.000

Computed properties:
magnetization: 0.00 μB/cell
energy relative to the elements, uncorrected: -0.267 eV per atom


# 13
Compound: DyZr3O
Source: Alexandria via LeMat-Bulk
Functional: GGA-PBE
Structure: relaxed

Cell lengths 4.641, 4.641, 4.641 Å; angles 90.00, 90.00, 90.00 degrees
Element x y z (fractional)
O: 0.000 0.000 0.000
Zr: 0.000 0.500 0.000
Zr: 0.000 0.000 0.500
Zr: 0.500 0.000 0.000
Dy: 0.500 0.500 0.500

Computed properties:
magnetization: 0.00 μB/cell
energy relative to the elements, uncorrected: -0.969 eV per atom


# 14
Compound: YHIr3
Source: Alexandria via LeMat-Bulk
Functional: GGA-PBE
Structure: relaxed

Cell lengths 4.103, 4.103, 4.103 Å; angles 90.00, 90.00, 90.00 degrees
Element x y z (fractional)
Y: 0.500 0.500 0.500
H: 0.000 0.000 0.000
Ir: 0.000 0.500 0.000
Ir: 0.000 0.000 0.500
Ir: 0.500 0.000 0.000

Computed properties:
magnetization: 0.00 μB/cell
DFT total energy: -7.599 eV per atom


# 15
Compound: MgBeBr
Source: Alexandria via LeMat-Bulk
Functional: GGA-PBE
Structure: relaxed

Cell lengths 4.747, 4.747, 4.747 Å; angles 60.00, 60.00, 60.00 degrees
Element x y z (fractional)
Be: 0.000 0.000 0.000
Mg: 0.750 0.750 0.750
Br: 0.500 0.500 0.500

Computed properties:
magnetization: 0.00 μB/cell
energy relative to the elements, uncorrected: 0.541 eV per atom


# 16
Compound: K2YAuCl6
Source: Alexandria via LeMat-Bulk
Functional: GGA-PBE
Structure: relaxed

Cell lengths 7.585, 7.585, 7.585 Å; angles 60.00, 60.00, 60.00 degrees
Element x y z (fractional)
K: 0.750 0.750 0.750
K: 0.250 0.250 0.250
Y: 0.000 0.000 0.000
Au: 0.500 0.500 0.500
Cl: 0.245 0.755 0.245
Cl: 0.755 0.245 0.245
Cl: 0.755 0.245 0.755
Cl: 0.245 0.245 0.755
Cl: 0.755 0.755 0.245
Cl: 0.245 0.755 0.755

Computed properties:
magnetization: 0.00 μB/cell
energy relative to the elements, uncorrected: -1.635 eV per atom


# 17
Compound: YMo3S
Source: Alexandria via LeMat-Bulk
Functional: GGA-PBE
Structure: relaxed

Cell lengths 4.545, 4.545, 4.545 Å; angles 90.00, 90.00, 90.00 degrees
Element x y z (fractional)
Y: 0.500 0.500 0.500
Mo: 0.000 0.500 0.000
Mo: 0.000 0.000 0.500
Mo: 0.500 0.000 0.000
S: 0.000 0.000 0.000

Computed properties:
magnetization: 0.00 μB/cell
energy relative to the elements, uncorrected: 0.195 eV per atom


# 18
Compound: NbSi3Bi
Source: Alexandria via LeMat-Bulk
Functional: GGA-PBE
Structure: relaxed

Cell lengths 4.936, 4.936, 4.936 Å; angles 90.00, 90.00, 90.00 degrees
Element x y z (fractional)
Nb: 0.000 0.000 0.000
Si: 0.000 0.500 0.000
Si: 0.000 0.000 0.500
Si: 0.500 0.000 0.000
Bi: 0.500 0.500 0.500

Computed properties:
magnetization: 0.00 μB/cell
energy relative to the elements, uncorrected: 0.686 eV per atom


# 19
Compound: TbIn2Ni
Source: Alexandria via LeMat-Bulk
Functional: GGA-PBE
Structure: relaxed

Cell lengths 3.321, 3.321, 7.572 Å; angles 90.00, 90.00, 90.00 degrees
Each line ends with the local moment (μB).
Element x y z (fractional)
Ni: 0.500 0.500 0.000  0.01
Tb: 0.500 0.500 0.500  0.21
In: 0.000 0.000 0.802  0.00
In: 0.000 0.000 0.198  0.00

Computed properties:
formation energy: -0.2549 eV per atom
magnetization: 0.27 μB/cell


# 20
Compound: EuZnAu4
Source: Alexandria via LeMat-Bulk
Functional: GGA-PBE
Structure: relaxed

Cell lengths 5.616, 5.616, 5.616 Å; angles 60.00, 60.00, 60.00 degrees
Each line ends with the local moment (μB).
Element x y z (fractional)
Eu: 0.250 0.250 0.250  6.79
Zn: 0.000 0.000 0.000  0.00
Au: 0.625 0.625 0.124  0.01
Au: 0.625 0.124 0.625  0.01
Au: 0.625 0.625 0.625  0.01
Au: 0.124 0.625 0.625  0.01

Computed properties:
formation energy: -0.3495 eV per atom
magnetization: 7.08 μB/cell


# 21
Compound: Nb3IN
Source: Alexandria via LeMat-Bulk
Functional: GGA-PBE
Structure: relaxed

Cell lengths 4.371, 4.371, 4.371 Å; angles 90.00, 90.00, 90.00 degrees
Element x y z (fractional)
I: 0.500 0.500 0.500
Nb: 0.000 0.500 0.000
Nb: 0.000 0.000 0.500
Nb: 0.500 0.000 0.000
N: 0.000 0.000 0.000

Computed properties:
magnetization: 0.00 μB/cell
energy relative to the elements, uncorrected: 0.093 eV per atom


# 22
Compound: Th3Si4Tc4
Source: Alexandria via LeMat-Bulk
Functional: GGA-PBE
Structure: relaxed

Cell lengths 6.551, 6.551, 6.551 Å; angles 109.47, 109.47, 109.47 degrees
Element x y z (fractional)
Th: 0.500 0.500 0.000
Th: 0.500 0.000 0.500
Th: 0.000 0.500 0.500
Si: 0.000 0.632 0.000
Si: 0.632 0.000 0.000
Si: 0.000 0.000 0.632
Si: 0.368 0.368 0.368
Tc: 0.000 0.269 0.000
Tc: 0.000 0.000 0.269
Tc: 0.269 0.000 0.000
Tc: 0.731 0.731 0.731

Computed properties:
magnetization: 0.00 μB/cell
energy relative to the elements, uncorrected: -0.573 eV per atom


# 23
Compound: LaGa2H2
Source: Alexandria via LeMat-Bulk
Functional: GGA-PBE
Structure: relaxed

Cell lengths 6.367, 6.367, 4.318 Å; angles 90.00, 90.00, 90.00 degrees
Element x y z (fractional)
H: 0.191 0.691 0.000
H: 0.691 0.809 0.000
H: 0.809 0.309 0.000
H: 0.309 0.191 0.000
Ga: 0.202 0.702 0.500
Ga: 0.702 0.798 0.500
Ga: 0.798 0.298 0.500
Ga: 0.298 0.202 0.500
La: 0.000 0.000 0.000
La: 0.500 0.500 0.000

Computed properties:
magnetization: 0.00 μB/cell
DFT total energy: -3.759 eV per atom


# 24
Compound: CdSnHg6
Source: Alexandria via LeMat-Bulk
Functional: GGA-PBE
Structure: relaxed

Cell lengths 6.285, 6.866, 9.080 Å; angles 45.62, 49.84, 56.52 degrees
Element x y z (fractional)
Cd: 0.000 0.000 0.000
Sn: 0.000 0.500 0.500
Hg: 0.251 0.849 0.657
Hg: 0.503 0.241 0.746
Hg: 0.247 0.360 0.148
Hg: 0.497 0.759 0.254
Hg: 0.749 0.151 0.343
Hg: 0.753 0.640 0.852

Computed properties:
formation energy: 0.0412 eV per atom
magnetization: 0.00 μB/cell


# 25
Compound: P2W2Cl
Source: Alexandria via LeMat-Bulk
Functional: GGA-PBE
Structure: relaxed

Cell lengths 7.258, 7.258, 2.967 Å; angles 90.00, 90.00, 90.00 degrees
Element x y z (fractional)
P: 0.364 0.864 0.000
P: 0.864 0.636 0.000
P: 0.636 0.136 0.000
P: 0.136 0.364 0.000
W: 0.145 0.645 0.500
W: 0.645 0.855 0.500
W: 0.855 0.355 0.500
W: 0.355 0.145 0.500
Cl: 0.000 0.000 0.000
Cl: 0.500 0.500 0.000

Computed properties:
magnetization: 0.00 μB/cell
energy relative to the elements, uncorrected: 0.352 eV per atom